# NaCuTe2PtSe

A relaxed structure of NaCuTe2PtSe (PBE, OQMD).

abc: 6.7196 6.7196 10.7729
angles: 90.00 90.00 145.13
Closest atoms and distances in Å follow each position.
Positions (direct):
Cu 0.4444 0.5556 0.2500  2 Se 2.43, 2 Te 2.60
Cu 0.5556 0.4444 0.7500  2 Se 2.43, 2 Te 2.60
Na 0.7406 0.2594 0.2500  2 Se 3.17, 6 Te 3.29-3.47, 2 Cu 3.30
Na 0.2594 0.7406 0.7500  2 Se 3.17, 6 Te 3.29-3.47, 2 Cu 3.30
Pt 0.0000 0.0000 0.0000  4 Te 2.71, 2 Se 2.77
Pt 0.0000 0.0000 0.5000  4 Te 2.71, 2 Se 2.77
Se 0.0499 0.9501 0.2500  2 Cu 2.43
Se 0.9501 0.0499 0.7500  2 Cu 2.43
Te 0.3613 0.6387 0.0299  1 Cu 2.60, 2 Pt 2.71
Te 0.3613 0.6387 0.4701  1 Cu 2.60, 2 Pt 2.71
Te 0.6387 0.3613 0.5299  1 Cu 2.60, 2 Pt 2.71
Te 0.6387 0.3613 0.9701  1 Cu 2.60, 2 Pt 2.71

Calculated values
total magnetization: 0.00 μB per atom
E_tot: -3.840 eV per atom
space group: No. 63

# Dy2Ir5C4

A relaxed structure of Dy2Ir5C4 (PBE, OQMD).

abc: 7.4463 6.0971 5.7385
angles: 77.91 53.19 48.90
Closest atoms and distances in Å follow each position.
Positions (direct):
C 0.4831 0.7820 0.2180  5 Ir 2.09-2.23
C 0.2180 0.5169 0.4831  5 Ir 2.09-2.23
C 0.7820 0.4831 0.5169  5 Ir 2.09-2.23
C 0.5169 0.2180 0.7820  5 Ir 2.09-2.23
Dy 0.8464 0.8464 0.1536  6 C 2.78-3.11, 4 Ir 3.06
Dy 0.1536 0.1536 0.8464  6 C 2.78-3.11, 4 Ir 3.06
Ir 0.5000 0.5000 0.0000  4 C 2.23
Ir 0.2500 0.2500 0.2500  4 C 2.12
Ir 0.0000 0.0000 0.5000  4 C 2.23
Ir 0.5000 0.5000 0.5000  4 C 2.09
Ir 0.7500 0.7500 0.7500  4 C 2.12

Calculated values
total magnetization: 0.00 μB per atom
E_tot: -8.013 eV per atom
space group: No. 69

# RbAgSnTe2Se

A relaxed structure of RbAgSnTe2Se (PBE, OQMD).

abc: 8.0818 8.0818 11.5362
angles: 90.00 90.00 149.75
Closest atoms and distances in Å follow each position.
Positions (direct):
Ag 0.4397 0.5603 0.2500  2 Se 2.68, 2 Te 2.79
Ag 0.5603 0.4397 0.7500  2 Se 2.68, 2 Te 2.79
Rb 0.7348 0.2652 0.2500  6 Te 3.59-3.86, 2 Se 3.62, 2 Ag 3.83
Rb 0.2652 0.7348 0.7500  6 Te 3.59-3.86, 2 Se 3.62, 2 Ag 3.83
Se 0.0459 0.9541 0.2500  2 Ag 2.68, 2 Sn 2.97
Se 0.9541 0.0459 0.7500  2 Ag 2.68, 2 Sn 2.97
Sn 0.0000 0.0000 0.0000  2 Se 2.97, 4 Te 3.01
Sn 0.0000 0.0000 0.5000  2 Se 2.97, 4 Te 3.01
Te 0.3641 0.6359 0.0309  1 Ag 2.79, 2 Sn 3.01
Te 0.3641 0.6359 0.4691  1 Ag 2.79, 2 Sn 3.01
Te 0.6359 0.3641 0.5309  1 Ag 2.79, 2 Sn 3.01
Te 0.6359 0.3641 0.9691  1 Ag 2.79, 2 Sn 3.01

Calculated values
E_tot: -3.312 eV per atom
space group: No. 63